(1)
VASP calculation (PBE-GGA) on NaAl2ReGe after structural relaxation.

POSCAR file:
```
NaAl2ReGe
1.0
-3.1451 -2.7485 -2.6068
1.5237 -3.8348 2.2049
-3.4319 0.6332 3.4730
Re Ge Al Na
1 1 2 1
Direct
0.0000 0.5000 0.0000
0.0000 0.0000 0.0000
0.0000 0.0000 0.5000
0.5000 0.0000 0.0000
0.5000 0.5000 0.5000
```

Computed properties:
M_tot: 0.00 Bohr magnetons per cell
DFT formation energy: 1.010 eV per atom
Symmetry: No. 123
Calculated volume: 113.4 Å³/cell


(2)
VASP calculation (PBE-GGA) on SmHoTm5 after structural relaxation.

POSCAR file:
```
SmHoTm5
1.0
-5.0280 4.3421 -0.5269
-6.0878 -1.7712 2.0531
-4.8747 5.6248 11.3258
Sm Ho Tm
2 2 10
Direct
0.7241 0.2759 0.7500
0.2759 0.7241 0.2500
0.0000 0.0000 0.0000
0.0000 0.0000 0.5000
0.1689 0.3889 0.7508
0.6461 0.6960 0.5006
0.3889 0.1689 0.2508
0.1620 0.8380 0.7500
0.3040 0.3539 0.9994
0.6960 0.6461 0.0006
0.8380 0.1620 0.2500
0.6111 0.8311 0.7492
0.3539 0.3040 0.4994
0.8311 0.6111 0.2492
```

Computed properties:
M_tot: 0.00 Bohr magnetons per cell
DFT formation energy: 0.204 eV per atom
Energy above the most stable polymorph in this dataset: 0 meV per atom
Symmetry: No. 15
Calculated volume: 437.4 Å³/cell


(3)
VASP calculation (PBE-GGA) on La12Sm7Cd after structural relaxation.

POSCAR file:
```
La12Sm7Cd
1.0
9.5876 0.0000 -3.3897
-4.7938 8.3031 -3.3897
0.0000 0.0000 10.1692
La Sm Cd
12 7 1
Direct
0.5145 0.7535 0.7610
0.9926 0.7535 0.2390
0.4855 0.2465 0.2390
0.0074 0.2465 0.7610
0.7610 0.0074 0.2465
0.7610 0.5145 0.7535
0.2390 0.9926 0.7535
0.2390 0.4855 0.2465
0.7535 0.7610 0.5145
0.2465 0.2390 0.4855
0.7535 0.2390 0.9926
0.2465 0.7610 0.0074
0.5000 0.5000 0.0000
0.0000 0.5000 0.5000
0.5000 0.0000 0.5000
0.5000 0.5000 0.5000
0.0000 0.0000 0.5000
0.5000 0.0000 0.0000
0.0000 0.5000 0.0000
0.0000 0.0000 0.0000
```

Computed properties:
M_tot: 0.00 Bohr magnetons per cell
DFT formation energy: 0.549 eV per atom
Symmetry: No. 204
Calculated volume: 809.5 Å³/cell


Which value of M_tot does entry 2 give?
0.00 Bohr magnetons per cell